First-principles (PBE) data for an optimized crystal structure of Tl2Cd3In5, as listed in Alexandria via LeMat-Bulk.

Values from the calculation:
Calculated formation energy (eV per atom): 0.067
Raw total energy (eV per atom): -2.050
Crystal system: orthorhombic
Total magnetization (μB per formula unit): 0.0

The structure in extended XYZ format:
```
20
Lattice="-5.6927 8.0752 3.0544 5.6927 -8.0752 3.0544 5.6927 8.0752 -3.0544" Properties=species:S:1:pos:R:3 pbc="T T T"
Tl 2.4977 2.7842 0.0000
Tl 2.4977 -2.7842 3.0544
Tl 3.1950 10.8594 0.0000
Tl 3.1950 5.2910 3.0544
Cd 4.8105 -5.4331 3.0544
Cd 5.6927 0.0000 1.5272
Cd 4.8105 5.4331 0.0000
Cd 0.8822 2.6422 3.0544
Cd 0.0000 8.0752 1.5272
Cd 0.8822 13.5083 0.0000
In 8.2415 0.7731 0.0000
In 5.6927 -2.9509 1.5272
In 0.0000 0.0000 1.5272
In 5.6927 2.9509 1.5272
In 2.5488 7.3021 0.0000
In 3.1438 0.7731 3.0544
In 0.0000 5.1243 1.5272
In 0.0000 0.0000 4.5815
In 0.0000 11.0262 1.5272
In -2.5488 7.3021 3.0544
```